The following is a DFT calculation (PBE+U) of a geometry-optimized MnOF structure.

Cell and atoms, written as POSCAR:
```
MnOF
1.0
4.655 0.000 0.000
0.000 4.616 0.000
-0.144 0.000 9.521
Mn O F
6 6 6
Cartesian
0.953 0.000 2.403
0.891 0.006 8.707
1.237 0.230 5.550
3.274 2.538 3.971
3.620 2.313 0.814
3.558 2.308 7.118
0.180 0.860 0.849
0.278 0.932 7.116
1.936 3.931 3.966
2.576 1.623 5.555
4.234 3.240 2.406
4.331 3.168 8.672
0.031 1.137 3.975
2.076 3.644 0.703
2.153 3.720 7.183
2.358 1.413 2.338
2.435 1.337 8.819
4.480 3.445 5.547
```

Computed properties:
calculated total energy	-121.29	eV per cell
SG	No. 4